Record 1
Computed, not measured: a relaxed Sm6Tm2Sc crystal at the PBE-GGA level of DFT.

Calculated values
E_form	343	meV per atom
N(E_F)	14.6	states/eV/cell
space group	R3m
energy relative to the lowest polymorph listed for this composition	308	meV/atom
total magnetic moment	0.0	μB/f.u.

Unit cell a=7.703 b=7.703 c=7.703 alpha=57.09 beta=57.09 gamma=57.09
Fractional coordinates of all 9 atoms:
1 Sm 0.171 0.171 0.657
2 Sm 0.171 0.657 0.171
3 Sm 0.384 0.384 0.820
4 Sm 0.384 0.820 0.384
5 Sm 0.657 0.171 0.171
6 Sm 0.820 0.384 0.384
7 Tm 0.680 0.680 0.680
8 Tm 0.854 0.854 0.854
9 Sc 0.115 0.115 0.115


Record 2
Computed, not measured: a relaxed Sm9Tm2Sc crystal at the PBE-GGA level of DFT.

Calculated values
E_form	26	meV per atom
N(E_F)	18.2	states/eV/cell
space group	P4/mmm
total magnetic moment	0.0	μB/f.u.

Unit cell a=5.053 b=5.053 c=15.161 alpha=90.00 beta=90.00 gamma=90.00
Fractional coordinates of all 12 atoms:
1 Sm 0.000 0.000 0.000
2 Sm 0.000 0.000 0.332
3 Sm 0.000 0.000 0.668
4 Sm 0.000 0.500 0.163
5 Sm 0.000 0.500 0.500
6 Sm 0.000 0.500 0.837
7 Sm 0.500 0.000 0.163
8 Sm 0.500 0.000 0.500
9 Sm 0.500 0.000 0.837
10 Tm 0.500 0.500 0.332
11 Tm 0.500 0.500 0.668
12 Sc 0.500 0.500 0.000


Record 3
Computed, not measured: a relaxed Sm6TmSc8 crystal at the PBE-GGA level of DFT.

Calculated values
E_form	184	meV per atom
N(E_F)	24.9	states/eV/cell
space group	R-3
total magnetic moment	0.0	μB/f.u.

Unit cell a=7.895 b=7.895 c=7.895 alpha=71.73 beta=71.73 gamma=71.73
Fractional coordinates of all 15 atoms:
1 Sm 0.169 0.428 0.621
2 Sm 0.379 0.831 0.572
3 Sm 0.428 0.621 0.169
4 Sm 0.572 0.379 0.831
5 Sm 0.621 0.169 0.428
6 Sm 0.831 0.572 0.379
7 Tm 0.000 0.000 0.000
8 Sc 0.048 0.873 0.378
9 Sc 0.127 0.622 0.952
10 Sc 0.228 0.228 0.228
11 Sc 0.378 0.048 0.873
12 Sc 0.622 0.952 0.127
13 Sc 0.772 0.772 0.772
14 Sc 0.873 0.378 0.048
15 Sc 0.952 0.127 0.622


Record 4
Computed, not measured: a relaxed Sm6Tm5Sc2 crystal at the PBE-GGA level of DFT.

Calculated values
E_form	64	meV per atom
N(E_F)	37.9	states/eV/cell
space group	Pbam
total magnetic moment	0.0	μB/f.u.

Unit cell a=11.349 b=20.141 c=3.550 alpha=90.00 beta=90.00 gamma=90.00
Fractional coordinates of all 26 atoms:
1 Sm 0.082 0.155 0.000
2 Sm 0.167 0.882 0.500
3 Sm 0.215 0.554 0.500
4 Sm 0.285 0.054 0.500
5 Sm 0.333 0.382 0.500
6 Sm 0.418 0.655 0.000
7 Sm 0.582 0.345 0.000
8 Sm 0.667 0.618 0.500
9 Sm 0.715 0.946 0.500
10 Sm 0.785 0.446 0.500
11 Sm 0.833 0.118 0.500
12 Sm 0.918 0.845 0.000
13 Tm 0.000 0.000 0.000
14 Tm 0.058 0.421 0.000
15 Tm 0.144 0.721 0.000
16 Tm 0.356 0.221 0.000
17 Tm 0.442 0.921 0.000
18 Tm 0.500 0.500 0.000
19 Tm 0.558 0.079 0.000
20 Tm 0.644 0.779 0.000
21 Tm 0.856 0.279 0.000
22 Tm 0.942 0.579 0.000
23 Sc 0.114 0.288 0.500
24 Sc 0.386 0.788 0.500
25 Sc 0.614 0.212 0.500
26 Sc 0.886 0.712 0.500


Record 5
Computed, not measured: a relaxed SmTm3Sc5 crystal at the PBE-GGA level of DFT.

Calculated values
E_form	297	meV per atom
N(E_F)	19.8	states/eV/cell
space group	I4/mcm
total magnetic moment	0.0	μB/f.u.

Unit cell a=9.232 b=9.232 c=9.232 alpha=126.78 beta=126.78 gamma=78.60
Fractional coordinates of all 18 atoms:
1 Sm 0.250 0.750 0.500
2 Sm 0.750 0.250 0.500
3 Tm 0.120 0.620 0.740
4 Tm 0.250 0.250 0.000
5 Tm 0.380 0.120 0.500
6 Tm 0.620 0.880 0.500
7 Tm 0.750 0.750 0.000
8 Tm 0.880 0.380 0.260
9 Sc 0.000 0.000 0.000
10 Sc 0.068 0.163 0.500
11 Sc 0.163 0.663 0.094
12 Sc 0.337 0.432 0.500
13 Sc 0.432 0.932 0.094
14 Sc 0.500 0.500 0.000
15 Sc 0.568 0.068 0.906
16 Sc 0.663 0.568 0.500
17 Sc 0.837 0.337 0.906
18 Sc 0.932 0.837 0.500


Record 6
Computed, not measured: a relaxed Sm2TmSc crystal at the PBE-GGA level of DFT.

Calculated values
E_form	44	meV per atom
N(E_F)	4.7	states/eV/cell
space group	R-3m
energy relative to the lowest polymorph listed for this composition	13	meV/atom
total magnetic moment	0.0	μB/f.u.

Unit cell a=11.450 b=11.450 c=11.450 alpha=17.67 beta=17.67 gamma=17.67
Fractional coordinates of all 4 atoms:
1 Sm 0.247 0.247 0.247
2 Sm 0.753 0.753 0.753
3 Tm 0.000 0.000 0.000
4 Sc 0.500 0.500 0.500


Record 7
Computed, not measured: a relaxed Sm6Tm3Sc crystal at the PBE-GGA level of DFT.

Calculated values
E_form	140	meV per atom
N(E_F)	26.3	states/eV/cell
space group	Cmc2_1
total magnetic moment	0.0	μB/f.u.

Unit cell a=10.989 b=10.989 c=6.162 alpha=90.00 beta=90.00 gamma=120.07
Fractional coordinates of all 20 atoms:
1 Sm 0.045 0.955 0.500
2 Sm 0.056 0.480 0.083
3 Sm 0.275 0.725 0.776
4 Sm 0.289 0.379 0.891
5 Sm 0.379 0.289 0.391
6 Sm 0.480 0.056 0.583
7 Sm 0.520 0.944 0.083
8 Sm 0.621 0.711 0.891
9 Sm 0.711 0.621 0.391
10 Sm 0.725 0.275 0.276
11 Sm 0.944 0.520 0.583
12 Sm 0.955 0.045 0.000
13 Tm 0.053 0.273 0.466
14 Tm 0.273 0.053 0.966
15 Tm 0.387 0.613 0.361
16 Tm 0.613 0.387 0.861
17 Tm 0.727 0.947 0.466
18 Tm 0.947 0.727 0.966
19 Sc 0.201 0.799 0.307
20 Sc 0.799 0.201 0.807


Record 8
Computed, not measured: a relaxed Sm11Tm9Sc4 crystal at the PBE-GGA level of DFT.

Calculated values
E_form	47	meV per atom
N(E_F)	30.3	states/eV/cell
space group	Cmmm
total magnetic moment	0.0	μB/f.u.

Unit cell a=15.081 b=15.081 c=3.562 alpha=90.00 beta=90.00 gamma=113.14
Fractional coordinates of all 24 atoms:
1 Sm 0.000 0.000 0.000
2 Sm 0.045 0.406 0.000
3 Sm 0.160 0.840 0.000
4 Sm 0.298 0.298 0.000
5 Sm 0.370 0.630 0.000
6 Sm 0.406 0.045 0.000
7 Sm 0.594 0.955 0.000
8 Sm 0.630 0.370 0.000
9 Sm 0.702 0.702 0.000
10 Sm 0.840 0.160 0.000
11 Sm 0.955 0.594 0.000
12 Tm 0.073 0.217 0.500
13 Tm 0.167 0.629 0.500
14 Tm 0.217 0.073 0.500
15 Tm 0.371 0.833 0.500
16 Tm 0.500 0.500 0.500
17 Tm 0.629 0.167 0.500
18 Tm 0.783 0.927 0.500
19 Tm 0.833 0.371 0.500
20 Tm 0.927 0.783 0.500
21 Sc 0.241 0.446 0.500
22 Sc 0.446 0.241 0.500
23 Sc 0.554 0.759 0.500
24 Sc 0.759 0.554 0.500


Record 9
Computed, not measured: a relaxed Sm5Tm4Sc4 crystal at the PBE-GGA level of DFT.

Calculated values
E_form	48	meV per atom
N(E_F)	20.0	states/eV/cell
space group	I4/m
total magnetic moment	0.0	μB/f.u.

Unit cell a=9.187 b=9.187 c=9.187 alpha=94.09 beta=94.09 gamma=149.03
Fractional coordinates of all 13 atoms:
1 Sm 0.000 0.000 0.000
2 Sm 0.306 0.458 0.764
3 Sm 0.458 0.694 0.152
4 Sm 0.542 0.306 0.848
5 Sm 0.694 0.542 0.236
6 Tm 0.078 0.616 0.694
7 Tm 0.384 0.078 0.461
8 Tm 0.616 0.922 0.539
9 Tm 0.922 0.384 0.306
10 Sc 0.156 0.234 0.390
11 Sc 0.234 0.844 0.078
12 Sc 0.766 0.156 0.922
13 Sc 0.844 0.766 0.610


Record 10
Computed, not measured: a relaxed Sm7TmSc4 crystal at the PBE-GGA level of DFT.

Calculated values
E_form	239	meV per atom
N(E_F)	20.6	states/eV/cell
space group	C2/m
energy relative to the lowest polymorph listed for this composition	208	meV/atom
total magnetic moment	0.1	μB/f.u.

Unit cell a=8.310 b=8.310 c=9.433 alpha=118.01 beta=118.01 gamma=41.06
Fractional coordinates of all 12 atoms:
1 Sm 0.000 0.000 0.000
2 Sm 0.262 0.262 0.726
3 Sm 0.292 0.292 0.115
4 Sm 0.411 0.411 0.552
5 Sm 0.589 0.589 0.448
6 Sm 0.708 0.708 0.885
7 Sm 0.738 0.738 0.274
8 Tm 0.500 0.500 0.000
9 Sc 0.056 0.056 0.700
10 Sc 0.165 0.165 0.349
11 Sc 0.835 0.835 0.651
12 Sc 0.944 0.944 0.300


Record 11
Computed, not measured: a relaxed Sm6Tm3Sc2 crystal at the PBE-GGA level of DFT.

Calculated values
E_form	196	meV per atom
N(E_F)	14.4	states/eV/cell
space group	C2/m
energy relative to the lowest polymorph listed for this composition	0	meV/atom
total magnetic moment	0.0	μB/f.u.

Unit cell a=6.125 b=6.125 c=11.211 alpha=95.23 beta=95.23 gamma=120.01
Fractional coordinates of all 11 atoms:
1 Sm 0.080 0.412 0.239
2 Sm 0.253 0.253 0.761
3 Sm 0.412 0.080 0.239
4 Sm 0.588 0.920 0.761
5 Sm 0.747 0.747 0.239
6 Sm 0.920 0.588 0.761
7 Tm 0.167 0.833 0.500
8 Tm 0.500 0.500 0.500
9 Tm 0.833 0.167 0.500
10 Sc 0.333 0.667 0.000
11 Sc 0.667 0.333 0.000


Record 12
Computed, not measured: a relaxed Sm12TmSc2 crystal at the PBE-GGA level of DFT.

Calculated values
E_form	110	meV per atom
N(E_F)	20.3	states/eV/cell
space group	P2/m
total magnetic moment	0.0	μB/f.u.

Unit cell a=3.622 b=4.868 c=28.134 alpha=90.00 beta=93.67 gamma=90.00
Fractional coordinates of all 15 atoms:
1 Sm 0.034 0.000 0.064
2 Sm 0.105 0.000 0.196
3 Sm 0.166 0.000 0.319
4 Sm 0.226 0.000 0.448
5 Sm 0.305 0.500 0.619
6 Sm 0.430 0.500 0.870
7 Sm 0.570 0.500 0.130
8 Sm 0.695 0.500 0.381
9 Sm 0.774 0.000 0.552
10 Sm 0.834 0.000 0.681
11 Sm 0.895 0.000 0.804
12 Sm 0.966 0.000 0.936
13 Tm 0.500 0.500 0.000
14 Sc 0.365 0.500 0.743
15 Sc 0.635 0.500 0.257


Record 13
Computed, not measured: a relaxed Sm2Tm5Sc2 crystal at the PBE-GGA level of DFT.

Calculated values
E_form	42	meV per atom
N(E_F)	13.3	states/eV/cell
space group	P-1
energy relative to the lowest polymorph listed for this composition	0	meV/atom
total magnetic moment	0.0	μB/f.u.

Unit cell a=6.003 b=6.006 c=9.171 alpha=90.04 beta=109.10 gamma=119.86
Fractional coordinates of all 9 atoms:
1 Sm 0.164 0.335 0.000
2 Sm 0.836 0.665 0.000
3 Tm 0.060 0.112 0.338
4 Tm 0.277 0.557 0.662
5 Tm 0.500 0.000 0.000
6 Tm 0.723 0.443 0.338
7 Tm 0.940 0.888 0.662
8 Sc 0.393 0.782 0.339
9 Sc 0.607 0.218 0.661


Record 14
Computed, not measured: a relaxed Sm8TmSc5 crystal at the PBE-GGA level of DFT.

Calculated values
E_form	266	meV per atom
N(E_F)	22.1	states/eV/cell
space group	I-4
total magnetic moment	0.0	μB/f.u.

Unit cell a=8.287 b=8.287 c=8.287 alpha=111.11 beta=111.11 gamma=106.24
Fractional coordinates of all 14 atoms:
1 Sm 0.094 0.672 0.768
2 Sm 0.168 0.273 0.759
3 Sm 0.328 0.096 0.421
4 Sm 0.514 0.409 0.241
5 Sm 0.591 0.832 0.104
6 Sm 0.674 0.906 0.579
7 Sm 0.727 0.486 0.896
8 Sm 0.904 0.326 0.232
9 Tm 0.000 0.000 0.000
10 Sc 0.214 0.622 0.194
11 Sc 0.378 0.571 0.592
12 Sc 0.429 0.020 0.806
13 Sc 0.750 0.250 0.500
14 Sc 0.980 0.786 0.408


Record 15
Computed, not measured: a relaxed Sm3TmSc2 crystal at the PBE-GGA level of DFT.

Calculated values
E_form	279	meV per atom
N(E_F)	21.1	states/eV/cell
space group	Cmcm
energy relative to the lowest polymorph listed for this composition	224	meV/atom
total magnetic moment	0.0	μB/f.u.

Unit cell a=8.699 b=8.699 c=5.489 alpha=90.00 beta=90.00 gamma=67.63
Fractional coordinates of all 12 atoms:
1 Sm 0.092 0.908 0.750
2 Sm 0.112 0.379 0.250
3 Sm 0.379 0.112 0.750
4 Sm 0.621 0.888 0.250
5 Sm 0.888 0.621 0.750
6 Sm 0.908 0.092 0.250
7 Tm 0.280 0.720 0.250
8 Tm 0.720 0.280 0.750
9 Sc 0.302 0.491 0.750
10 Sc 0.491 0.302 0.250
11 Sc 0.509 0.698 0.750
12 Sc 0.698 0.509 0.250


Record 16
Computed, not measured: a relaxed SmTm6Sc crystal at the PBE-GGA level of DFT.

Calculated values
E_form	226	meV per atom
N(E_F)	12.1	states/eV/cell
space group	C2/m
energy relative to the lowest polymorph listed for this composition	190	meV/atom
total magnetic moment	0.0	μB/f.u.

Unit cell a=6.575 b=6.575 c=6.561 alpha=90.71 beta=90.71 gamma=121.65
Fractional coordinates of all 8 atoms:
1 Sm 0.000 0.000 0.000
2 Tm 0.038 0.580 0.256
3 Tm 0.420 0.962 0.744
4 Tm 0.476 0.476 0.253
5 Tm 0.524 0.524 0.747
6 Tm 0.580 0.038 0.256
7 Tm 0.962 0.420 0.744
8 Sc 0.000 0.000 0.500


Record 17
Computed, not measured: a relaxed SmTm5Sc crystal at the PBE-GGA level of DFT.

Calculated values
E_form	64	meV per atom
N(E_F)	21.2	states/eV/cell
space group	P2_1/m
energy relative to the lowest polymorph listed for this composition	0	meV/atom
total magnetic moment	0.3	μB/f.u.

Unit cell a=9.071 b=3.529 c=13.505 alpha=90.00 beta=102.21 gamma=90.00
Fractional coordinates of all 14 atoms:
1 Sm 0.113 0.250 0.137
2 Sm 0.887 0.750 0.863
3 Tm 0.005 0.750 0.370
4 Tm 0.204 0.250 0.885
5 Tm 0.327 0.250 0.507
6 Tm 0.350 0.750 0.722
7 Tm 0.419 0.750 0.083
8 Tm 0.581 0.250 0.917
9 Tm 0.650 0.250 0.278
10 Tm 0.673 0.750 0.493
11 Tm 0.796 0.750 0.115
12 Tm 0.995 0.250 0.630
13 Sc 0.352 0.750 0.308
14 Sc 0.648 0.250 0.692


Record 18
Computed, not measured: a relaxed SmTm4Sc2 crystal at the PBE-GGA level of DFT.

Calculated values
E_form	776	meV per atom
N(E_F)	9.0	states/eV/cell
space group	I4/mmm
energy relative to the lowest polymorph listed for this composition	733	meV/atom
total magnetic moment	0.0	μB/f.u.

Unit cell a=8.777 b=8.777 c=8.777 alpha=143.64 beta=143.64 gamma=52.36
Fractional coordinates of all 7 atoms:
1 Sm 0.000 0.000 0.000
2 Tm 0.000 0.500 0.500
3 Tm 0.186 0.186 0.000
4 Tm 0.500 0.000 0.500
5 Tm 0.814 0.814 0.000
6 Sc 0.393 0.393 0.000
7 Sc 0.607 0.607 0.000


Record 19
Computed, not measured: a relaxed Sm8Tm2Sc3 crystal at the PBE-GGA level of DFT.

Calculated values
E_form	245	meV per atom
N(E_F)	19.0	states/eV/cell
space group	C2/m
energy relative to the lowest polymorph listed for this composition	37	meV/atom
total magnetic moment	0.0	μB/f.u.

Unit cell a=8.612 b=8.612 c=6.611 alpha=98.10 beta=98.10 gamma=61.94
Fractional coordinates of all 13 atoms:
1 Sm 0.071 0.706 0.068
2 Sm 0.090 0.090 0.394
3 Sm 0.294 0.929 0.932
4 Sm 0.309 0.309 0.687
5 Sm 0.691 0.691 0.313
6 Sm 0.706 0.071 0.068
7 Sm 0.910 0.910 0.606
8 Sm 0.929 0.294 0.932
9 Tm 0.304 0.304 0.202
10 Tm 0.696 0.696 0.798
11 Sc 0.338 0.662 0.500
12 Sc 0.500 0.500 0.000
13 Sc 0.662 0.338 0.500


| no. | V (Å³/cell) | ρ (g/cm³) | final energy (eV/atom) |
| --- | --- | --- | --- |
| 1 | 302 | 7.076 | -4.50 |
| 2 | 387 | 7.447 | -4.79 |
| 3 | 431 | 5.514 | -5.38 |
| 4 | 811 | 7.518 | -4.81 |
| 5 | 489 | 5.994 | -5.24 |
| 6 | 121 | 7.080 | -5.02 |
| 7 | 644 | 7.498 | -4.67 |
| 8 | 745 | 7.477 | -4.85 |
| 9 | 385 | 6.940 | -5.09 |
| 10 | 370 | 6.286 | -5.00 |
| 11 | 358 | 6.950 | -4.75 |
| 12 | 495 | 6.920 | -4.81 |
| 13 | 266 | 7.725 | -4.90 |
| 14 | 437 | 6.066 | -5.01 |
| 15 | 384 | 6.138 | -4.94 |
| 16 | 241 | 8.316 | -4.51 |
| 17 | 423 | 8.174 | -4.71 |
| 18 | 236 | 6.439 | -4.26 |
| 19 | 427 | 6.519 | -4.81 |